Entry 1:
Density functional theory data (GGA-PBE) for RbPbS2Cl after structural relaxation.

Lattice parameters (Å, degrees): 5.787 5.787 5.850 90.00 90.00 90.00
Site moments in Bohr magnetons follow the coordinates.
Atoms (fractional coordinates):
Pb1 0.500 0.500 0.500  -0.07
S1 0.000 0.500 0.000  0.63
S2 0.500 0.000 0.000  0.63
Rb1 0.000 0.000 0.000  0.09
Cl1 0.000 0.000 0.500  0.03

Calculated values
**Total magnetic moment**: 2.031 μB/f.u.

***

Entry 2:
Density functional theory data (GGA-PBE) for RbPbSCl2 after structural relaxation.

Lattice parameters (Å, degrees): 5.672 5.672 5.111 90.00 90.00 90.00
Atoms (fractional coordinates):
Pb1 0.000 0.000 0.000
S1 0.000 0.000 0.500
Rb1 0.500 0.500 0.500
Cl1 0.000 0.500 0.000
Cl2 0.500 0.000 0.000

Calculated values
**Total magnetic moment**: 0.000 μB/f.u.

***

Entry 3:
Density functional theory data (GGA-PBE) for RbPbS2Cl after structural relaxation.

Lattice parameters (Å, degrees): 5.255 5.255 5.747 90.00 90.00 90.00
Atoms (fractional coordinates):
Pb1 0.000 0.000 0.000
S1 0.000 0.500 0.000
S2 0.500 0.000 0.000
Rb1 0.500 0.500 0.500
Cl1 0.000 0.000 0.500

Calculated values
**Total magnetic moment**: 0.000 μB/f.u.

***

Entry 4:
Density functional theory data (GGA-PBE) for RbSbPbCl6 after structural relaxation.

Lattice parameters (Å, degrees): 7.336 7.335 7.172 90.00 90.00 60.00
Atoms (fractional coordinates):
Rb1 0.000 0.000 0.000
Sb1 0.667 0.667 0.500
Pb1 0.333 0.333 0.500
Cl1 0.975 0.381 0.281
Cl2 0.381 0.976 0.719
Cl3 0.643 0.381 0.719
Cl4 0.976 0.643 0.719
Cl5 0.381 0.644 0.281
Cl6 0.643 0.976 0.281

Calculated values
**Total magnetic moment**: 0.000 μB/f.u.

***

Entry 5:
Density functional theory data (GGA-PBE) for Rb2SbPbCl6 after structural relaxation.

Lattice parameters (Å, degrees): 7.954 7.954 8.016 119.88 119.90 89.94
Atoms (fractional coordinates):
Rb1 0.791 0.292 0.584
Rb2 0.291 0.792 0.584
Sb1 0.995 0.995 0.989
Pb1 0.497 0.497 0.993
Cl1 0.740 0.741 0.967
Cl2 0.751 0.751 0.501
Cl3 0.228 0.228 0.968
Cl4 0.740 0.227 0.965
Cl5 0.239 0.241 0.480
Cl6 0.227 0.741 0.967

Calculated values
**Total magnetic moment**: 0.000 μB/f.u.

***

Entry 6:
Density functional theory data (GGA-PBE) for RbScPbCl6 after structural relaxation.

Lattice parameters (Å, degrees): 7.193 7.193 13.954 90.00 90.00 120.00
Atoms (fractional coordinates):
Rb1 0.000 0.000 0.000
Rb2 0.000 0.000 0.500
Sc1 0.667 0.333 0.250
Sc2 0.333 0.667 0.750
Pb1 0.333 0.667 0.250
Pb2 0.667 0.333 0.750
Cl1 0.649 0.608 0.144
Cl2 0.959 0.351 0.144
Cl3 0.351 0.959 0.644
Cl4 0.041 0.649 0.856
Cl5 0.392 0.351 0.356
Cl6 0.959 0.608 0.356
Cl7 0.608 0.959 0.856
Cl8 0.649 0.041 0.356
Cl9 0.041 0.392 0.644
Cl10 0.392 0.041 0.144
Cl11 0.608 0.649 0.644
Cl12 0.351 0.392 0.856

Calculated values
**Total magnetic moment**: 0.000 μB/f.u.

***

Listing DFT total energy for the structures above in their given order: -0.094, -0.129, -0.130, -0.126, -0.122, -0.156 hartree per atom.
Listing formation energy without anion corrections for the structures above in their given order: 397, -1004, -574, -1229, -1240, -1799 meV per atom.